Entry 1:
# NiPt2Rh

A geometry-optimized NiPt2Rh structure (PBE, Alexandria).

```
NiPt2Rh
1.0
2.735 0.000 0.000
-1.367 2.368 0.000
0.000 0.000 26.495
Ni Pt Rh
3 6 3
Direct
0.000 0.000 0.000 Ni
0.333 0.667 0.667 Ni
0.667 0.333 0.333 Ni
0.000 0.000 0.254 Pt
0.000 0.000 0.746 Pt
0.333 0.667 0.413 Pt
0.333 0.667 0.920 Pt
0.667 0.333 0.080 Pt
0.667 0.333 0.587 Pt
0.000 0.000 0.500 Rh
0.333 0.667 0.167 Rh
0.667 0.333 0.833 Rh
```

## Properties
calculated formation energy: -0.181 eV per formula unit
magnetic moment: 5.17 μB/cell
mass density: 16.02 g cm⁻³
density of states at the Fermi level: 18.33 states/eV per cell

Entry 2:
# Mg3CdIn3

A geometry-optimized Mg3CdIn3 structure (PBE, Alexandria).

```
Mg3CdIn3
1.0
4.562 -4.547 0.000
4.562 4.547 0.000
-0.005 0.000 8.362
Mg Cd In
6 2 6
Direct
0.000 0.000 0.245 Mg
0.000 0.000 0.755 Mg
0.001 0.500 0.247 Mg
0.500 0.001 0.247 Mg
0.500 0.999 0.753 Mg
0.999 0.500 0.753 Mg
0.254 0.254 0.999 Cd
0.746 0.746 0.001 Cd
0.257 0.257 0.501 In
0.260 0.740 0.500 In
0.271 0.729 0.000 In
0.729 0.271 0.000 In
0.740 0.260 0.500 In
0.743 0.743 0.499 In
```

## Properties
calculated formation energy: -0.203 eV per formula unit
magnetic moment: 0.00 μB/cell
mass density: 5.07 g cm⁻³
density of states at the Fermi level: 5.84 states/eV per cell

Entry 3:
# DyY2Al

A geometry-optimized DyY2Al structure (PBE, Alexandria).

```
DyY2Al
1.0
3.523 0.000 0.000
0.000 3.523 0.000
0.000 0.000 9.030
Dy Y Al
1 2 1
Direct
0.000 0.000 0.000 Dy
0.500 0.500 0.287 Y
0.500 0.500 0.713 Y
0.000 0.000 0.500 Al
```

## Properties
calculated formation energy: -0.784 eV per formula unit
magnetic moment: 0.00 μB/cell
mass density: 5.44 g cm⁻³
density of states at the Fermi level: 4.24 states/eV per cell

Entry 4:
# BeTcAs

A geometry-optimized BeTcAs structure (PBE, Alexandria).

```
BeTcAs
1.0
5.474 0.000 0.000
0.000 5.474 0.000
0.000 0.000 5.474
Be Tc As
4 4 4
Direct
0.000 0.000 0.000 Be
0.000 0.500 0.500 Be
0.500 0.000 0.500 Be
0.500 0.500 0.000 Be
0.250 0.250 0.750 Tc
0.250 0.750 0.250 Tc
0.750 0.250 0.250 Tc
0.750 0.750 0.750 Tc
0.250 0.250 0.250 As
0.250 0.750 0.750 As
0.750 0.250 0.750 As
0.750 0.750 0.250 As
```

## Properties
calculated formation energy: 1.018 eV per formula unit
magnetic moment: 0.00 μB/cell
mass density: 7.37 g cm⁻³
density of states at the Fermi level: 10.62 states/eV per cell

Entry 5:
# AlHgOs2

A geometry-optimized AlHgOs2 structure (PBE, Alexandria).

```
AlHgOs2
1.0
5.682 0.000 0.000
0.000 7.631 0.000
0.000 0.000 2.900
Al Hg Os
2 2 4
Direct
0.000 0.000 0.000 Al
0.500 0.500 0.000 Al
0.000 0.500 0.000 Hg
0.500 0.000 0.000 Hg
0.250 0.250 0.500 Os
0.250 0.750 0.500 Os
0.750 0.250 0.500 Os
0.750 0.750 0.500 Os
```

## Properties
calculated formation energy: 2.432 eV per formula unit
magnetic moment: 0.00 μB/cell
mass density: 16.06 g cm⁻³
density of states at the Fermi level: 8.49 states/eV per cell

Entry 6:
# Hg3Pd2Pb3

A geometry-optimized Hg3Pd2Pb3 structure (PBE, Alexandria).

```
Hg3Pd2Pb3
1.0
1.921 -5.410 0.000
1.921 5.410 0.000
0.000 0.000 18.524
Hg Pd Pb
6 4 6
Direct
0.119 0.881 0.750 Hg
0.141 0.859 0.024 Hg
0.141 0.859 0.476 Hg
0.859 0.141 0.524 Hg
0.859 0.141 0.976 Hg
0.881 0.119 0.250 Hg
0.280 0.720 0.628 Pd
0.280 0.720 0.872 Pd
0.720 0.280 0.128 Pd
0.720 0.280 0.372 Pd
0.154 0.846 0.250 Pb
0.435 0.565 0.115 Pb
0.435 0.565 0.385 Pb
0.565 0.435 0.615 Pb
0.565 0.435 0.885 Pb
0.846 0.154 0.750 Pb
```

## Properties
calculated formation energy: -0.579 eV per formula unit
magnetic moment: 0.00 μB/cell
mass density: 12.39 g cm⁻³
density of states at the Fermi level: 6.77 states/eV per cell

Entry 7:
# Ca4Tl2InAu

A geometry-optimized Ca4Tl2InAu structure (PBE, Alexandria).

```
Ca4Tl2InAu
1.0
2.698 1.558 8.800
-2.698 1.558 8.800
0.000 -3.115 8.800
Ca Tl In Au
4 2 1 1
Direct
0.120 0.120 0.120 Ca
0.371 0.371 0.371 Ca
0.629 0.629 0.629 Ca
0.880 0.880 0.880 Ca
0.246 0.246 0.246 Tl
0.754 0.754 0.754 Tl
0.500 0.500 0.500 In
0.000 0.000 0.000 Au
```

## Properties
calculated formation energy: -4.172 eV per formula unit
magnetic moment: 0.00 μB/cell
mass density: 6.59 g cm⁻³
density of states at the Fermi level: 4.20 states/eV per cell

Entry 8:
# CaMgIr2

A geometry-optimized CaMgIr2 structure (PBE, Alexandria).

```
CaMgIr2
1.0
4.200 0.000 0.000
0.000 4.200 0.000
0.000 0.000 7.950
Ca Mg Ir
2 2 4
Direct
0.000 0.000 0.000 Ca
0.500 0.500 0.500 Ca
0.000 0.000 0.500 Mg
0.500 0.500 0.000 Mg
0.000 0.500 0.250 Ir
0.000 0.500 0.750 Ir
0.500 0.000 0.250 Ir
0.500 0.000 0.750 Ir
```

## Properties
calculated formation energy: -0.314 eV per formula unit
magnetic moment: 0.00 μB/cell
mass density: 10.63 g cm⁻³
density of states at the Fermi level: 5.10 states/eV per cell

Entry 9:
# PmPu3Ru2

A geometry-optimized PmPu3Ru2 structure (PBE, Alexandria).

```
PmPu3Ru2
1.0
8.186 -2.063 0.000
8.186 2.063 0.000
-2.072 0.000 7.246
Pm Pu Ru
2 6 4
Direct
0.114 0.114 0.175 Pm
0.886 0.886 0.825 Pm
0.054 0.054 0.641 Pu
0.298 0.298 0.079 Pu
0.373 0.373 0.452 Pu
0.627 0.627 0.548 Pu
0.702 0.702 0.921 Pu
0.946 0.946 0.359 Pu
0.241 0.241 0.639 Ru
0.465 0.465 0.138 Ru
0.535 0.535 0.862 Ru
0.759 0.759 0.361 Ru
```

## Properties
calculated formation energy: -0.195 eV per formula unit
magnetic moment: 6.67 μB/cell
mass density: 14.64 g cm⁻³
density of states at the Fermi level: 23.53 states/eV per cell

Entry 10:
# Ce5HgRu4

A geometry-optimized Ce5HgRu4 structure (PBE, Alexandria).

```
Ce5HgRu4
1.0
7.682 0.000 0.000
0.000 8.383 0.000
0.000 0.000 7.270
Ce Hg Ru
10 2 8
Direct
0.001 0.030 0.241 Ce
0.001 0.470 0.241 Ce
0.250 0.750 0.446 Ce
0.499 0.030 0.241 Ce
0.499 0.470 0.241 Ce
0.501 0.530 0.759 Ce
0.501 0.970 0.759 Ce
0.750 0.250 0.554 Ce
0.999 0.530 0.759 Ce
0.999 0.970 0.759 Ce
0.250 0.250 0.933 Hg
0.750 0.750 0.067 Hg
0.073 0.250 0.520 Ru
0.250 0.586 0.047 Ru
0.250 0.914 0.047 Ru
0.427 0.250 0.520 Ru
0.573 0.750 0.480 Ru
0.750 0.086 0.953 Ru
0.750 0.414 0.953 Ru
0.927 0.750 0.480 Ru
```

## Properties
calculated formation energy: -2.225 eV per formula unit
magnetic moment: 0.00 μB/cell
mass density: 9.26 g cm⁻³
density of states at the Fermi level: 31.80 states/eV per cell

Entry 11:
# BaCrC2N

A geometry-optimized BaCrC2N structure (PBE, Alexandria).

```
BaCrC2N
1.0
4.602 0.000 0.000
0.000 4.602 0.000
0.000 0.000 5.423
Ba Cr C N
1 1 2 1
Direct
0.000 0.000 0.000 Ba
0.000 0.000 0.500 Cr
0.000 0.500 0.000 C
0.500 0.000 0.000 C
0.500 0.500 0.500 N
```

## Properties
magnetic moment: 1.78 μB/cell
mass density: 3.29 g cm⁻³
raw total energy: -16.30 eV for the cell shown
density of states at the Fermi level: 9.80 states/eV per cell

Entry 12:
# ScSbF3

A geometry-optimized ScSbF3 structure (PBE, Alexandria).

```
ScSbF3
1.0
4.631 0.000 0.000
0.000 4.631 0.000
0.000 0.000 4.631
Sc Sb F
1 1 3
Direct
0.000 0.000 0.000 Sc
0.500 0.500 0.500 Sb
0.000 0.500 0.500 F
0.500 0.000 0.500 F
0.500 0.500 0.000 F
```

## Properties
magnetic moment: 1.52 μB/cell
mass density: 3.74 g cm⁻³
raw total energy: -22.30 eV for the cell shown
density of states at the Fermi level: 5.19 states/eV per cell